A crystal of ZnHgAu relaxed with PBEsol, computed with meta-GGA SCAN.

Cell lengths 3.3918, 3.3937, 5.1272 Å; angles 109.33, 109.32, 90.00 degrees
Last column: nearest neighbours and their distance in Å.
Element x y z (fractional)
Au  0.9831  0.9831  0.9661  4 Zn 2.70, 5 Hg 2.84-2.94
Hg  0.6697  0.6697  0.3393  5 Au 2.84-2.94, 5 Zn 2.89-2.92
Zn  0.3473  0.3473  0.6945  4 Au 2.70, 5 Hg 2.89-2.92

Properties
The energy above the most stable polymorph in this dataset is 0 meV per atom. The total magnetization is 0.00 μB/f.u. Its space group is I4mm. For the density of states at the Fermi level, the calculation gives 0.66 states/eV/cell.